# Mn2AgP

A PBEsol-optimized structure of Mn2AgP (SCAN, Alexandria via LeMat-Bulk).

The structure in extended XYZ format:
```
4
Lattice="2.718 0.000 0.000 0.000 1.373 7.157 0.000 -1.373 7.157" Properties=species:S:1:pos:R:3 pbc="T T T"
Mn 0.000 0.000 0.000
Mn 1.359 0.000 5.582
Ag 0.000 0.000 10.725
P 1.359 0.000 8.400
```

M_tot	2.8	μB per cell
N(E_F)	2.0	states/eV per cell
symmetry	Amm2 (38)
formation energy from the elements	-0.68	kcal/mol of atoms

=====

# Mg2FeTe

A PBEsol-optimized structure of Mg2FeTe (SCAN, Alexandria via LeMat-Bulk).

The structure in extended XYZ format:
```
8
Lattice="-4.893 4.893 2.304 4.893 -4.893 2.304 4.893 4.893 -2.304" Properties=species:S:1:pos:R:3 pbc="T T T"
Mg 0.000 0.000 0.000
Mg 2.447 2.447 -1.152
Mg 2.447 -2.447 1.152
Mg 0.000 4.893 0.000
Fe 4.893 -2.447 1.728
Fe 0.000 7.340 0.576
Te 4.893 2.447 0.576
Te 0.000 2.447 1.728
```

M_tot	1.9	μB per cell
ΔE_f (raw)	321	meV per atom
N(E_F)	3.7	states/eV per cell
symmetry	I4_1/amd (141)

=====

# Zr2Sc

A PBEsol-optimized structure of Zr2Sc (SCAN, Alexandria via LeMat-Bulk).

The structure in extended XYZ format:
```
3
Lattice="3.163 0.000 0.000 -1.582 2.740 0.000 0.000 0.000 7.759" Properties=species:S:1:pos:R:3 pbc="T T T"
Zr 0.000 1.826 2.617
Zr 1.582 0.913 5.141
Sc 0.000 0.000 0.000
```

M_tot	0.0	μB per cell
N(E_F)	4.3	states/eV per cell
symmetry	P-3m1 (164)
formation energy from the elements	1.59	kcal/mol of atoms

=====

Question: Which formula does entry 3 have?
Answer: Zr2Sc

=====

Please write out number 2 again, unchanged.
# Mg2FeTe

A PBEsol-optimized structure of Mg2FeTe (SCAN, Alexandria via LeMat-Bulk).

The structure in extended XYZ format:
```
8
Lattice="-4.893 4.893 2.304 4.893 -4.893 2.304 4.893 4.893 -2.304" Properties=species:S:1:pos:R:3 pbc="T T T"
Mg 0.000 0.000 0.000
Mg 2.447 2.447 -1.152
Mg 2.447 -2.447 1.152
Mg 0.000 4.893 0.000
Fe 4.893 -2.447 1.728
Fe 0.000 7.340 0.576
Te 4.893 2.447 0.576
Te 0.000 2.447 1.728
```

M_tot	1.9	μB per cell
ΔE_f (raw)	321	meV per atom
N(E_F)	3.7	states/eV per cell
symmetry	I4_1/amd (141)

=====

Question: Look up the M_tot of the second one.
Answer: 1.9 μB per cell

=====

Question: Which value of M_tot does entry 3 give?
Answer: 0.0 μB per cell